(1)
A geometry-optimized Ca3Ga2Ir2 structure, computed with PBE-GGA. Values from VASP.

Summary:
**E**: -4.840 eV/atom
**Space-group type**: Pbcm, No. 57
**Volume**: 630.2 Å³ per cell
**N(E_F)**: 0.3749 states/eV per atom

Geometry as Quantum ESPRESSO input:
```
&SYSTEM
  ibrav = 0, nat = 28, ntyp = 3
/
ATOMIC_SPECIES
Ca 40.08 Ca.upf
Ga 69.72 Ga.upf
Ir 192.22 Ir.upf
CELL_PARAMETERS angstrom
5.783 0.000 0.000
0.000 7.842 0.000
0.000 0.000 13.896
ATOMIC_POSITIONS crystal
Ca 0.127 0.243 0.250
Ca 0.127 0.257 0.750
Ca 0.358 0.606 0.596
Ca 0.358 0.606 0.904
Ca 0.358 0.894 0.096
Ca 0.358 0.894 0.404
Ca 0.642 0.106 0.596
Ca 0.642 0.106 0.904
Ca 0.642 0.394 0.096
Ca 0.642 0.394 0.404
Ca 0.873 0.743 0.250
Ca 0.873 0.757 0.750
Ga 0.099 0.250 0.000
Ga 0.099 0.250 0.500
Ga 0.340 0.588 0.250
Ga 0.340 0.912 0.750
Ga 0.660 0.088 0.250
Ga 0.660 0.412 0.750
Ga 0.901 0.750 0.000
Ga 0.901 0.750 0.500
Ir 0.144 0.527 0.093
Ir 0.144 0.527 0.407
Ir 0.144 0.973 0.593
Ir 0.144 0.973 0.907
Ir 0.856 0.027 0.093
Ir 0.856 0.027 0.407
Ir 0.856 0.473 0.593
Ir 0.856 0.473 0.907
```

---

(2)
A geometry-optimized Tl3Sn structure, computed with PBE-GGA. Values from VASP.

Summary:
**E**: -2.753 eV/atom
**Space-group type**: Pmmm, No. 47
**Volume**: 120.6 Å³ per cell
**N(E_F)**: 0.3879 states/eV per atom

Geometry as Quantum ESPRESSO input:
```
&SYSTEM
  ibrav = 0, nat = 4, ntyp = 2
/
ATOMIC_SPECIES
Tl 204.38 Tl.upf
Sn 118.71 Sn.upf
CELL_PARAMETERS angstrom
3.553 0.000 0.000
0.000 4.553 0.000
0.000 0.000 7.457
ATOMIC_POSITIONS crystal
Tl 0.000 0.000 0.000
Tl 0.500 0.500 0.263
Tl 0.500 0.500 0.737
Sn 0.000 0.000 0.500
```

---

(3)
A geometry-optimized Zn2NiOs structure, computed with PBE-GGA. Values from VASP.

Summary:
**E**: -4.781 eV/atom
**Space-group type**: P2/m, No. 10
**Volume**: 53.2 Å³ per cell
**N(E_F)**: 0.7576 states/eV per atom

Geometry as Quantum ESPRESSO input:
```
&SYSTEM
  ibrav = 0, nat = 4, ntyp = 3
/
ATOMIC_SPECIES
Zn 65.41 Zn.upf
Ni 58.69 Ni.upf
Os 190.23 Os.upf
CELL_PARAMETERS angstrom
2.594 0.000 0.000
0.000 4.229 0.000
-0.486 0.000 4.854
ATOMIC_POSITIONS crystal
Zn 0.187 0.000 0.256
Zn 0.813 0.000 0.744
Ni 0.000 0.500 0.500
Os 0.500 0.500 0.000
```

---

(4)
A geometry-optimized Li4NiW structure, computed with PBE-GGA. Values from VASP.

Summary:
**E**: -3.769 eV/atom
**Space-group type**: F-43m, No. 216
**Volume**: 75.7 Å³ per cell
**N(E_F)**: 1.1024 states/eV per atom

Geometry as Quantum ESPRESSO input:
```
&SYSTEM
  ibrav = 0, nat = 6, ntyp = 3
/
ATOMIC_SPECIES
Li 6.94 Li.upf
Ni 58.69 Ni.upf
W 183.84 W.upf
CELL_PARAMETERS angstrom
0.000 3.357 3.357
3.357 0.000 3.357
3.357 3.357 0.000
ATOMIC_POSITIONS crystal
Li 0.124 0.124 0.124
Li 0.124 0.124 0.628
Li 0.124 0.628 0.124
Li 0.628 0.124 0.124
Ni 0.750 0.750 0.750
W 0.500 0.500 0.500
```

---

(5)
A geometry-optimized La2Zn2Au structure, computed with PBE-GGA. Values from VASP.

Summary:
**E**: -3.568 eV/atom
**Space-group type**: P4/mbm, No. 127
**Excess energy over the best structure of this formula in the dataset**: 0.0660 eV per atom
**Volume**: 241.3 Å³ per cell
**N(E_F)**: 0.9034 states/eV per atom

Geometry as Quantum ESPRESSO input:
```
&SYSTEM
  ibrav = 0, nat = 10, ntyp = 3
/
ATOMIC_SPECIES
La 138.91 La.upf
Zn 65.41 Zn.upf
Au 196.97 Au.upf
CELL_PARAMETERS angstrom
7.204 0.000 0.000
0.000 7.204 0.000
0.000 0.000 4.649
ATOMIC_POSITIONS crystal
La 0.167 0.333 0.000
La 0.333 0.833 0.000
La 0.667 0.167 0.000
La 0.833 0.667 0.000
Zn 0.131 0.631 0.500
Zn 0.369 0.131 0.500
Zn 0.631 0.869 0.500
Zn 0.869 0.369 0.500
Au 0.000 0.000 0.500
Au 0.500 0.500 0.500
```

---

(6)
A geometry-optimized BaAu3 structure, computed with PBE-GGA. Values from VASP.

Summary:
**E**: -3.268 eV/atom
**Space-group type**: P4/mmm, No. 123
**Volume**: 100.0 Å³ per cell
**N(E_F)**: 0.3329 states/eV per atom

Geometry as Quantum ESPRESSO input:
```
&SYSTEM
  ibrav = 0, nat = 4, ntyp = 2
/
ATOMIC_SPECIES
Ba 137.33 Ba.upf
Au 196.97 Au.upf
CELL_PARAMETERS angstrom
3.775 0.000 0.000
0.000 3.775 0.000
0.000 0.000 7.014
ATOMIC_POSITIONS crystal
Ba 0.000 0.000 0.000
Au 0.000 0.000 0.500
Au 0.500 0.500 0.302
Au 0.500 0.500 0.698
```

---

(7)
A geometry-optimized CaLaSmTh structure, computed with PBE-GGA. Values from VASP.

Summary:
**E**: -4.548 eV/atom
**Space-group type**: F-43m, No. 216
**Excess energy over the best structure of this formula in the dataset**: 0.1890 eV per atom
**Volume**: 141.8 Å³ per cell
**N(E_F)**: 2.2004 states/eV per atom

Geometry as Quantum ESPRESSO input:
```
&SYSTEM
  ibrav = 0, nat = 4, ntyp = 4
/
ATOMIC_SPECIES
Ca 40.08 Ca.upf
La 138.91 La.upf
Sm 150.36 Sm.upf
Th 232.04 Th.upf
CELL_PARAMETERS angstrom
0.000 4.139 4.139
4.139 0.000 4.139
4.139 4.139 0.000
ATOMIC_POSITIONS crystal
Ca 0.000 0.000 0.000
La 0.250 0.250 0.250
Sm 0.750 0.750 0.750
Th 0.500 0.500 0.500
```

---

(8)
A geometry-optimized Y2Ga3Ag structure, computed with PBE-GGA. Values from VASP.

Summary:
**E**: -4.727 eV/atom
**Space-group type**: P3m1, No. 156
**Excess energy over the best structure of this formula in the dataset**: 0.0062 eV per atom
**Volume**: 127.4 Å³ per cell
**N(E_F)**: 0.3093 states/eV per atom

Geometry as Quantum ESPRESSO input:
```
&SYSTEM
  ibrav = 0, nat = 6, ntyp = 3
/
ATOMIC_SPECIES
Y 88.91 Y.upf
Ga 69.72 Ga.upf
Ag 107.87 Ag.upf
CELL_PARAMETERS angstrom
4.508 0.000 0.000
-2.254 3.904 0.000
0.000 0.000 7.237
ATOMIC_POSITIONS crystal
Y 0.000 0.000 0.000
Y 0.000 0.000 0.484
Ga 0.333 0.667 0.697
Ga 0.667 0.333 0.213
Ga 0.667 0.333 0.790
Ag 0.333 0.667 0.272
```

---

(9)
A geometry-optimized Ho3CoRu structure, computed with PBE-GGA. Values from VASP.

Summary:
**E**: -6.339 eV/atom
**Space-group type**: P2_1/m, No. 11
**Excess energy over the best structure of this formula in the dataset**: 0.0000 eV per atom
**Volume**: 221.7 Å³ per cell
**N(E_F)**: 0.6186 states/eV per atom

Geometry as Quantum ESPRESSO input:
```
&SYSTEM
  ibrav = 0, nat = 10, ntyp = 3
/
ATOMIC_SPECIES
Ho 164.93 Ho.upf
Co 58.93 Co.upf
Ru 101.07 Ru.upf
CELL_PARAMETERS angstrom
7.596 0.000 0.000
0.000 4.043 0.000
-3.160 0.000 7.219
ATOMIC_POSITIONS crystal
Ho 0.086 0.250 0.220
Ho 0.313 0.250 0.920
Ho 0.371 0.750 0.594
Ho 0.629 0.250 0.406
Ho 0.687 0.750 0.080
Ho 0.914 0.750 0.780
Co 0.041 0.250 0.559
Co 0.959 0.750 0.441
Ru 0.343 0.750 0.184
Ru 0.657 0.250 0.816
```

---

(10)
A geometry-optimized CaHf2Cr2 structure, computed with PBE-GGA. Values from VASP.

Summary:
**E**: -7.866 eV/atom
**Space-group type**: P4/mbm, No. 127
**Volume**: 206.6 Å³ per cell
**N(E_F)**: 0.9447 states/eV per atom

Geometry as Quantum ESPRESSO input:
```
&SYSTEM
  ibrav = 0, nat = 10, ntyp = 3
/
ATOMIC_SPECIES
Ca 40.08 Ca.upf
Hf 178.49 Hf.upf
Cr 52.00 Cr.upf
CELL_PARAMETERS angstrom
8.053 0.000 0.000
0.000 8.053 0.000
0.000 0.000 3.186
ATOMIC_POSITIONS crystal
Ca 0.000 0.000 0.000
Ca 0.500 0.500 0.000
Hf 0.149 0.351 0.500
Hf 0.351 0.851 0.500
Hf 0.649 0.149 0.500
Hf 0.851 0.649 0.500
Cr 0.137 0.637 0.000
Cr 0.363 0.137 0.000
Cr 0.637 0.863 0.000
Cr 0.863 0.363 0.000
```

---

(11)
A geometry-optimized EuIn5 structure, computed with PBE-GGA. Values from VASP.

Summary:
**E**: -4.226 eV/atom
**Space-group type**: Cmmm, No. 65
**Volume**: 162.1 Å³ per cell
**N(E_F)**: 0.4978 states/eV per atom

Geometry as Quantum ESPRESSO input:
```
&SYSTEM
  ibrav = 0, nat = 6, ntyp = 2
/
ATOMIC_SPECIES
Eu 151.96 Eu.upf
In 114.82 In.upf
CELL_PARAMETERS angstrom
2.415 -6.978 0.000
2.415 6.978 0.000
0.000 0.000 4.811
ATOMIC_POSITIONS crystal
Eu 0.000 0.000 0.000
In 0.171 0.829 0.500
In 0.325 0.675 0.000
In 0.500 0.500 0.500
In 0.675 0.325 0.000
In 0.829 0.171 0.500
```

---

(12)
A geometry-optimized MgPt4 structure, computed with PBE-GGA. Values from VASP.

Summary:
**E**: -4.148 eV/atom
**Space-group type**: Pm-3m, No. 221
**Excess energy over the best structure of this formula in the dataset**: 1.4283 eV per atom
**Volume**: 93.3 Å³ per cell
**N(E_F)**: 1.6423 states/eV per atom

Geometry as Quantum ESPRESSO input:
```
&SYSTEM
  ibrav = 0, nat = 5, ntyp = 2
/
ATOMIC_SPECIES
Mg 24.30 Mg.upf
Pt 195.08 Pt.upf
CELL_PARAMETERS angstrom
4.535 0.000 0.000
0.000 4.535 0.000
0.000 0.000 4.535
ATOMIC_POSITIONS crystal
Mg 0.000 0.000 0.000
Pt 0.000 0.000 0.500
Pt 0.000 0.500 0.000
Pt 0.500 0.000 0.000
Pt 0.500 0.500 0.500
```

---

(13)
A geometry-optimized PrHo4In5 structure, computed with PBE-GGA. Values from VASP.

Summary:
**E**: -4.142 eV/atom
**Space-group type**: P4/mmm, No. 123
**Volume**: 269.4 Å³ per cell
**N(E_F)**: 0.5449 states/eV per atom

Geometry as Quantum ESPRESSO input:
```
&SYSTEM
  ibrav = 0, nat = 10, ntyp = 3
/
ATOMIC_SPECIES
Pr 140.91 Pr.upf
Ho 164.93 Ho.upf
In 114.82 In.upf
CELL_PARAMETERS angstrom
3.765 0.000 0.000
0.000 3.765 0.000
0.000 0.000 18.998
ATOMIC_POSITIONS crystal
Pr 0.000 0.000 0.000
Ho 0.000 0.000 0.207
Ho 0.000 0.000 0.402
Ho 0.000 0.000 0.598
Ho 0.000 0.000 0.793
In 0.500 0.500 0.110
In 0.500 0.500 0.305
In 0.500 0.500 0.500
In 0.500 0.500 0.695
In 0.500 0.500 0.890
```

---

(14)
A geometry-optimized CrMo2Au structure, computed with PBE-GGA. Values from VASP.

Summary:
**E**: -8.409 eV/atom
**Space-group type**: P4/mmm, No. 123
**Excess energy over the best structure of this formula in the dataset**: 0.0191 eV per atom
**Volume**: 61.4 Å³ per cell
**N(E_F)**: 0.8981 states/eV per atom

Geometry as Quantum ESPRESSO input:
```
&SYSTEM
  ibrav = 0, nat = 4, ntyp = 3
/
ATOMIC_SPECIES
Cr 52.00 Cr.upf
Mo 95.94 Mo.upf
Au 196.97 Au.upf
CELL_PARAMETERS angstrom
3.858 0.000 0.000
0.000 3.858 0.000
0.000 0.000 4.127
ATOMIC_POSITIONS crystal
Cr 0.000 0.000 0.000
Mo 0.000 0.500 0.500
Mo 0.500 0.000 0.500
Au 0.500 0.500 0.000
```

---

(15)
A geometry-optimized BeAg2Au structure, computed with PBE-GGA. Values from VASP.

Summary:
**E**: -3.030 eV/atom
**Space-group type**: I4/mmm, No. 139
**Volume**: 63.7 Å³ per cell
**N(E_F)**: 0.3195 states/eV per atom

Geometry as Quantum ESPRESSO input:
```
&SYSTEM
  ibrav = 0, nat = 4, ntyp = 3
/
ATOMIC_SPECIES
Be 9.01 Be.upf
Ag 107.87 Ag.upf
Au 196.97 Au.upf
CELL_PARAMETERS angstrom
-1.939 1.939 4.237
1.939 -1.939 4.237
1.939 1.939 -4.237
ATOMIC_POSITIONS crystal
Be 0.000 0.000 0.000
Ag 0.250 0.750 0.500
Ag 0.750 0.250 0.500
Au 0.500 0.500 0.000
```

---

(16)
A geometry-optimized ZrNiPdRh structure, computed with PBE-GGA. Values from VASP.

Summary:
**E**: -7.346 eV/atom
**Space-group type**: Pmmm, No. 47
**Excess energy over the best structure of this formula in the dataset**: 0.0000 eV per atom
**Volume**: 60.9 Å³ per cell
**N(E_F)**: 1.1232 states/eV per atom

Geometry as Quantum ESPRESSO input:
```
&SYSTEM
  ibrav = 0, nat = 4, ntyp = 4
/
ATOMIC_SPECIES
Zr 91.22 Zr.upf
Ni 58.69 Ni.upf
Pd 106.42 Pd.upf
Rh 102.91 Rh.upf
CELL_PARAMETERS angstrom
3.872 0.000 0.000
0.000 3.891 0.000
0.000 0.000 4.039
ATOMIC_POSITIONS crystal
Zr 0.000 0.000 0.000
Ni 0.000 0.500 0.500
Pd 0.500 0.000 0.500
Rh 0.500 0.500 0.000
```

---

(17)
A geometry-optimized BaBr2O structure, computed with PBE-GGA. Values from VASP.

Summary:
**E**: -3.508 eV/atom
**Space-group type**: Fm-3m, No. 225
**Excess energy over the best structure of this formula in the dataset**: 0.5577 eV per atom
**Volume**: 115.6 Å³ per cell
**N(E_F)**: 2.3181 states/eV per atom
**Formation energy from raw total energies**: -0.952 eV/atom

Geometry as Quantum ESPRESSO input:
```
&SYSTEM
  ibrav = 0, nat = 4, ntyp = 3
/
ATOMIC_SPECIES
Ba 137.33 Ba.upf
Br 79.90 Br.upf
O 16.00 O.upf
CELL_PARAMETERS angstrom
0.000 3.867 3.867
3.867 0.000 3.867
3.867 3.867 0.000
ATOMIC_POSITIONS crystal
Ba 0.000 0.000 0.000
Br 0.250 0.250 0.250
Br 0.750 0.750 0.750
O 0.500 0.500 0.500
```

---

(18)
A geometry-optimized Ta5Pt4 structure, computed with PBE-GGA. Values from VASP.

Summary:
**E**: -9.718 eV/atom
**Space-group type**: P6_3/mcm, No. 193
**Excess energy over the best structure of this formula in the dataset**: 0.0000 eV per atom
**Volume**: 311.9 Å³ per cell
**N(E_F)**: 0.8647 states/eV per atom

Geometry as Quantum ESPRESSO input:
```
&SYSTEM
  ibrav = 0, nat = 18, ntyp = 2
/
ATOMIC_SPECIES
Ta 180.95 Ta.upf
Pt 195.08 Pt.upf
CELL_PARAMETERS angstrom
8.268 0.000 0.000
-4.134 7.160 0.000
0.000 0.000 5.268
ATOMIC_POSITIONS crystal
Ta 0.000 0.284 0.250
Ta 0.000 0.716 0.750
Ta 0.284 0.000 0.250
Ta 0.284 0.284 0.750
Ta 0.333 0.667 0.000
Ta 0.333 0.667 0.500
Ta 0.667 0.333 0.000
Ta 0.667 0.333 0.500
Ta 0.716 0.000 0.750
Ta 0.716 0.716 0.250
Pt 0.000 0.000 0.000
Pt 0.000 0.000 0.500
Pt 0.000 0.394 0.750
Pt 0.000 0.606 0.250
Pt 0.394 0.000 0.750
Pt 0.394 0.394 0.250
Pt 0.606 0.000 0.250
Pt 0.606 0.606 0.750
```

---

(19)
A geometry-optimized Pr4Bi2Pt structure, computed with PBE-GGA. Values from VASP.

Summary:
**E**: -5.405 eV/atom
**Space-group type**: P2_1/m, No. 11
**Volume**: 456.8 Å³ per cell
**N(E_F)**: 0.9604 states/eV per atom

Geometry as Quantum ESPRESSO input:
```
&SYSTEM
  ibrav = 0, nat = 14, ntyp = 3
/
ATOMIC_SPECIES
Pr 140.91 Pr.upf
Bi 208.98 Bi.upf
Pt 195.08 Pt.upf
CELL_PARAMETERS angstrom
7.375 0.000 0.000
0.000 6.644 0.000
-3.221 0.000 9.322
ATOMIC_POSITIONS crystal
Pr 0.008 0.007 0.266
Pr 0.008 0.493 0.266
Pr 0.405 0.750 0.075
Pr 0.449 0.750 0.634
Pr 0.551 0.250 0.366
Pr 0.595 0.250 0.925
Pr 0.992 0.507 0.734
Pr 0.992 0.993 0.734
Bi 0.219 0.250 0.044
Bi 0.249 0.250 0.573
Bi 0.751 0.750 0.427
Bi 0.781 0.750 0.956
Pt 0.338 0.750 0.334
Pt 0.662 0.250 0.666
```

---

(20)
A geometry-optimized K2CaOsO6 structure, computed with PBE-GGA. Values from VASP.

Summary:
**E**: -6.092 eV/atom
**Space-group type**: P-3m1, No. 164
**Volume**: 196.8 Å³ per cell
**Formation energy from raw total energies**: -1.574 eV/atom

Geometry as Quantum ESPRESSO input:
```
&SYSTEM
  ibrav = 0, nat = 10, ntyp = 4
/
ATOMIC_SPECIES
K 39.10 K.upf
Ca 40.08 Ca.upf
Os 190.23 Os.upf
O 16.00 O.upf
CELL_PARAMETERS angstrom
6.212 0.000 0.000
-3.106 5.380 0.000
0.000 0.000 5.888
ATOMIC_POSITIONS crystal
K 0.333 0.667 0.390
K 0.667 0.333 0.610
Ca 0.000 0.000 0.000
Os 0.000 0.000 0.500
O 0.140 0.281 0.691
O 0.140 0.860 0.691
O 0.281 0.140 0.309
O 0.719 0.860 0.691
O 0.860 0.140 0.309
O 0.860 0.719 0.309
```